# 1
Here is a geometry-optimized Sc2SnRuN structure from the Alexandria database. Energies are from PBE-GGA.

```
5
Lattice="4.3899 0.0000 0.0000 0.0000 4.3899 0.0000 0.0000 0.0000 4.1998" Properties=species:S:1:pos:R:3 pbc="T T T"
Sc 0.0000 2.1950 0.0000
Sc 2.1950 0.0000 0.0000
Sn 0.0000 0.0000 2.0999
Ru 2.1950 2.1950 2.0999
N 2.1950 2.1950 0.0000
```

Computed properties:
raw formation energy = -805 meV/atom
DOS(E_F) = 0.5315 states/eV/atom
SG = P4/mmm, No. 123
calculated total energy = -7.659 eV/atom

***

# 2
Here is a geometry-optimized Li2In2Sb structure from the Alexandria database. Energies are from PBE-GGA.

```
10
Lattice="8.2776 0.0000 0.0000 0.0000 8.2776 0.0000 0.0000 0.0000 3.2423" Properties=species:S:1:pos:R:3 pbc="T T T"
Li 1.4221 2.7167 0.0000
Li 2.7167 6.8555 0.0000
Li 5.5609 1.4221 0.0000
Li 6.8555 5.5609 0.0000
In 1.0622 5.2010 1.6212
In 3.0766 1.0622 1.6212
In 5.2010 7.2154 1.6212
In 7.2154 3.0766 1.6212
Sb 0.0000 0.0000 1.6212
Sb 4.1388 4.1388 1.6212
```

Computed properties:
raw formation energy = -178 meV/atom
DOS(E_F) = 0.2816 states/eV/atom
SG = P4/mbm, No. 127
calculated total energy = -2.863 eV/atom

***

# 3
Here is a geometry-optimized Eu3SnH structure from the Alexandria database. Energies are from PBE-GGA.

```
5
Lattice="5.0535 0.0000 0.0000 0.0000 5.0535 0.0000 0.0000 0.0000 5.0535" Properties=species:S:1:pos:R:3 pbc="T T T"
Eu 0.0000 0.0000 2.5267
Eu 0.0000 2.5267 0.0000
Eu 2.5267 0.0000 0.0000
Sn 2.5267 2.5267 2.5267
H 0.0000 0.0000 0.0000
```

Computed properties:
DOS(E_F) = 0.5949 states/eV/atom
SG = Pm-3m, No. 221
calculated total energy = -8.174 eV/atom

***

# 4
Here is a geometry-optimized NaPaGaN3 structure from the Alexandria database. Energies are from PBE-GGA.

```
12
Lattice="6.8953 0.0000 0.0000 0.0000 3.5724 0.0000 -2.6378 0.0000 8.7169" Properties=species:S:1:pos:R:3 pbc="T T T"
Na 0.8178 0.8931 1.1734
Na 3.4397 2.6793 7.5435
Pa 0.0119 2.6793 7.3925
Pa 4.2456 0.8931 1.3243
Ga -1.3961 0.8931 5.3816
Ga 5.6535 2.6793 3.3353
N -1.5081 0.8931 7.3155
N -0.3945 2.6793 5.0833
N 2.8785 2.6793 0.9429
N 1.3789 0.8931 7.7740
N 4.6520 0.8931 3.6336
N 5.7656 2.6793 1.4014
```

Computed properties:
raw formation energy = -786 meV/atom
DOS(E_F) = 0.0000 states/eV/atom
SG = P2_1/m, No. 11
calculated total energy = -7.256 eV/atom

***

# 5
Here is a geometry-optimized Sm2Ge2O7 structure from the Alexandria database. Energies are from PBE-GGA.

```
44
Lattice="6.9759 0.0000 0.0000 -0.2773 7.0050 0.0000 -0.2125 -0.7803 12.4885" Properties=species:S:1:pos:R:3 pbc="T T T"
Sm 0.2197 0.7133 4.4892
Sm 0.9170 4.0062 11.0742
Sm 1.6097 1.9352 7.8478
Sm 2.1691 0.2362 1.4200
Sm 4.3170 5.9885 11.0685
Sm 4.8763 4.2895 4.6407
Sm 5.5690 2.2185 1.4143
Sm 6.2663 5.5113 7.9993
Ge 0.8672 0.3944 11.0381
Ge 1.4834 4.1741 5.1023
Ge 1.9762 3.4809 2.0944
Ge 2.5330 5.4030 7.8419
Ge 3.9531 0.8217 4.6466
Ge 4.5099 2.7438 10.3941
Ge 5.0026 2.0506 7.3862
Ge 5.6188 5.8302 1.4504
O 0.0051 -0.1104 2.3677
O 0.1331 5.2863 5.1382
O 0.5593 1.5796 0.1801
O 0.5737 2.6068 2.7423
O 1.0126 2.5809 5.6604
O 1.2908 1.8307 10.1488
O 1.3863 4.2419 8.5844
O 1.6587 -0.3046 7.5780
O 1.6846 4.8332 1.0103
O 1.9186 6.2359 11.4308
O 2.4795 0.3941 3.8317
O 2.6074 4.1902 3.6961
O 2.8617 4.6622 6.2140
O 3.1800 2.3360 1.5292
O 3.3060 3.8887 10.9593
O 3.6244 1.5625 6.2745
O 3.8786 2.0344 8.7924
O 4.0065 5.8306 8.6568
O 4.5674 -0.0113 1.0577
O 4.8014 1.3915 11.4782
O 4.8274 6.5292 4.9105
O 5.0997 1.9827 3.9041
O 5.1952 4.3939 2.3397
O 5.4734 3.6437 6.8281
O 5.9124 3.6178 9.7462
O 5.9267 4.6450 12.3084
O 6.3529 0.9384 7.3503
O 6.4809 6.3351 10.1208
```

Computed properties:
raw formation energy = -2560 meV/atom
DOS(E_F) = 0.0000 states/eV/atom
SG = P-1, No. 2
calculated total energy = -7.413 eV/atom

***

# 6
Here is a geometry-optimized PmHfTiN3 structure from the Alexandria database. Energies are from PBE-GGA.

```
12
Lattice="6.8245 0.0000 0.0000 0.0000 3.2225 0.0000 -0.6153 0.0000 8.2644" Properties=species:S:1:pos:R:3 pbc="T T T"
Pm 0.8610 0.8056 1.5520
Pm 5.3482 2.4169 6.7123
Hf 1.9437 2.4169 7.2187
Hf 4.2655 0.8056 1.0457
Ti 0.6508 0.8056 4.7693
Ti 5.5584 2.4169 3.4950
N 0.4910 0.8056 6.9831
N 0.7650 2.4169 3.5967
N 2.7144 2.4169 1.0195
N 3.4948 0.8056 7.2449
N 5.4441 0.8056 4.6676
N 5.7182 2.4169 1.2813
```

Computed properties:
raw formation energy = -1375 meV/atom
DOS(E_F) = 0.5474 states/eV/atom
SG = P2_1/m, No. 11
calculated total energy = -9.304 eV/atom